Version w
SbPNCl2 (PBE, relaxed); total magnetic moment = 0.00 μB per formula unit; theoretical density = 4.53 g/cm3
1.0
4.2860 0.0000 0.0000
0.0000 4.2860 0.0000
0.0000 0.0000 4.7388
P Cl N Sb
1 2 1 1
Direct
0.0000 0.0000 0.5000 P
0.5000 0.0000 0.0000 Cl
0.0000 0.5000 0.0000 Cl
0.0000 0.0000 0.0000 N
0.5000 0.5000 0.5000 Sb



Version x
SbPNCl2 (PBE, relaxed); total magnetic moment = 3.09 μB per formula unit; theoretical density = 2.61 g/cm3
1.0
-1.9042 -3.4860 3.5671
4.9863 -1.4186 1.2754
0.1142 3.7601 3.7356
Cl Sb P N
2 1 1 1
Direct
0.0000 0.5000 0.0000 Cl
0.5000 0.0000 0.0000 Cl
0.0000 0.0000 0.0000 Sb
0.0000 0.0000 0.5000 P
0.5000 0.5000 0.5000 N



Most stable structure: version w



Version w
ScPNCl2 (PBE, relaxed); total magnetic moment = 0.00 μB per formula unit; theoretical density = 3.29 g/cm3
1.0
-0.4724 -3.3726 -2.5438
0.3789 -2.5831 3.3545
-4.4469 0.1544 0.6212
P Cl N Sc
1 2 1 1
Direct
0.0000 0.0000 0.5000 P
0.0000 0.5000 0.0000 Cl
0.5000 0.0000 0.0000 Cl
0.0000 0.0000 0.0000 N
0.5000 0.5000 0.5000 Sc



Version x
ScPNCl2 (PBE, relaxed); total magnetic moment = 1.00 μB per formula unit; theoretical density = 2.03 g/cm3
1.0
4.9183 0.0000 0.0000
0.0000 4.9183 0.0000
0.0000 0.0000 5.4400
Cl N P Sc
2 1 1 1
Direct
0.5000 0.0000 0.0000 Cl
0.0000 0.5000 0.0000 Cl
0.5000 0.5000 0.5000 N
0.0000 0.0000 0.5000 P
0.0000 0.0000 0.0000 Sc



Most stable structure: version x



Version w
PSeNCl2 (PBE, relaxed); total magnetic moment = 0.00 μB per formula unit; theoretical density = 3.89 g/cm3
1.0
4.2397 0.0000 0.0000
0.0000 4.2397 0.0000
0.0000 0.0000 4.6309
P Cl Se N
1 2 1 1
Direct
0.0000 0.0000 0.5000 P
0.0000 0.5000 0.0000 Cl
0.5000 0.0000 0.0000 Cl
0.5000 0.5000 0.5000 Se
0.0000 0.0000 0.0000 N



Version x
PSeNCl2 (PBE, relaxed); total magnetic moment = 1.35 μB per formula unit; theoretical density = 2.70 g/cm3
1.0
4.7498 0.0000 0.0000
0.0000 4.7498 0.0000
0.0000 0.0000 5.3149
N Se Cl P
1 1 2 1
Direct
0.5000 0.5000 0.5000 N
0.0000 0.0000 0.0000 Se
0.5000 0.0000 0.0000 Cl
0.0000 0.5000 0.0000 Cl
0.0000 0.0000 0.5000 P



Most stable structure: version w



Version w
SiP2NCl (PBE, relaxed); total magnetic moment = 0.00 μB per formula unit; theoretical density = 2.56 g/cm3
1.0
4.5620 0.0000 0.0000
0.0000 4.5620 0.0000
0.0000 0.0000 4.3422
P Si N Cl
2 1 1 1
Direct
0.0000 0.5000 0.0000 P
0.5000 0.0000 0.0000 P
0.0000 0.0000 0.0000 Si
0.5000 0.5000 0.5000 N
0.0000 0.0000 0.5000 Cl



Version x
SiP2NCl (PBE, relaxed); total magnetic moment = 0.00 μB per formula unit; theoretical density = 3.12 g/cm3
1.0
4.0636 0.0000 0.0000
0.0000 4.0636 0.0000
0.0000 0.0000 4.4985
Si N P Cl
1 1 2 1
Direct
0.5000 0.5000 0.5000 Si
0.0000 0.0000 0.0000 N
0.0000 0.5000 0.0000 P
0.5000 0.0000 0.0000 P
0.0000 0.0000 0.5000 Cl



Most stable structure: version x



Version w
SiPNCl2 (PBE, relaxed); total magnetic moment = 0.83 μB per formula unit; theoretical density = 2.18 g/cm3
1.0
4.7273 0.0000 0.0000
0.0000 4.7273 0.0000
0.0000 0.0000 4.8999
Si P Cl N
1 1 2 1
Direct
0.0000 0.0000 0.0000 Si
0.0000 0.0000 0.5000 P
0.0000 0.5000 0.0000 Cl
0.5000 0.0000 0.0000 Cl
0.5000 0.5000 0.5000 N



Version x
SiPNCl2 (PBE, relaxed); total magnetic moment = 0.00 μB per formula unit; theoretical density = 2.96 g/cm3
1.0
4.2176 0.0000 0.0000
0.0000 4.2176 0.0000
0.0000 0.0000 4.5416
N Si Cl P
1 1 2 1
Direct
0.0000 0.0000 0.0000 N
0.5000 0.5000 0.5000 Si
0.5000 0.0000 0.0000 Cl
0.0000 0.5000 0.0000 Cl
0.0000 0.0000 0.5000 P



Most stable structure: version w



Version w
SnPNCl2 (PBE, relaxed); total magnetic moment = 0.92 μB per formula unit; theoretical density = 2.55 g/cm3
1.0
-1.1555 -0.9545 -5.0878
5.1319 0.4727 -1.2542
0.6945 -5.3132 0.8391
P Cl Sn N
1 2 1 1
Direct
0.0000 0.0000 0.5000 P
0.5000 0.0000 0.0000 Cl
0.0000 0.5000 0.0000 Cl
0.0000 0.0000 0.0000 Sn
0.5000 0.5000 0.5000 N



Version x
SnPNCl2 (PBE, relaxed); total magnetic moment = 0.00 μB per formula unit; theoretical density = 3.46 g/cm3
1.0
5.8508 0.0000 0.0000
0.0000 5.8508 0.0000
0.0000 0.0000 3.2923
Cl N P Sn
2 1 1 1
Direct
0.0000 0.5000 0.0000 Cl
0.5000 0.0000 0.0000 Cl
0.0000 0.0000 0.0000 N
0.0000 0.0000 0.5000 P
0.5000 0.5000 0.5000 Sn



Most stable structure: version x



Version w
SrPNCl2 (PBE, relaxed); total magnetic moment = 1.99 μB per formula unit; theoretical density = 1.55 g/cm3
1.0
5.5714 0.0000 0.0000
0.0000 5.5714 0.0000
0.0000 0.0000 7.0391
Cl N Sr P
2 1 1 1
Direct
0.5000 0.0000 0.0000 Cl
0.0000 0.5000 0.0000 Cl
0.5000 0.5000 0.5000 N
0.0000 0.0000 0.0000 Sr
0.0000 0.0000 0.5000 P



Version x
SrPNCl2 (PBE, relaxed); total magnetic moment = 0.00 μB per formula unit; theoretical density = 3.03 g/cm3
1.0
-0.7966 -0.4990 5.6299
5.1440 -2.4199 0.5133
1.4026 3.0814 0.4716
Cl P Sr N
2 1 1 1
Direct
0.0000 0.5000 0.0000 Cl
0.5000 0.0000 0.0000 Cl
0.0000 0.0000 0.5000 P
0.5000 0.5000 0.5000 Sr
0.0000 0.0000 0.0000 N



Most stable structure: version x



Version w
TcP2NCl (PBE, relaxed); total magnetic moment = 0.00 μB per formula unit; theoretical density = 5.31 g/cm3
1.0
3.9160 0.0000 0.0000
0.0000 3.9160 0.0000
0.0000 0.0000 4.2742
P Cl Tc N
2 1 1 1
Direct
0.0000 0.5000 0.0000 P
0.5000 0.0000 0.0000 P
0.0000 0.0000 0.5000 Cl
0.5000 0.5000 0.5000 Tc
0.0000 0.0000 0.0000 N



Version x
TcP2NCl (PBE, relaxed); total magnetic moment = 2.21 μB per formula unit; theoretical density = 3.29 g/cm3
1.0
-1.6668 3.1214 2.8315
-4.2068 -1.0503 -1.3186
-0.2864 -3.5378 3.7315
N Tc P Cl
1 1 2 1
Direct
0.5000 0.5000 0.5000 N
0.0000 0.0000 0.0000 Tc
0.5000 0.0000 0.0000 P
0.0000 0.5000 0.0000 P
0.0000 0.0000 0.5000 Cl



Most stable structure: version w



Version w
TeP2NCl (PBE, relaxed); total magnetic moment = 0.00 μB per formula unit; theoretical density = 4.87 g/cm3
1.0
4.3923 0.0000 0.0000
0.0000 4.3923 0.0000
0.0000 0.0000 4.2219
P N Cl Te
2 1 1 1
Direct
0.5000 0.0000 0.0000 P
0.0000 0.5000 0.0000 P
0.0000 0.0000 0.0000 N
0.0000 0.0000 0.5000 Cl
0.5000 0.5000 0.5000 Te



Version x
TeP2NCl (PBE, relaxed); total magnetic moment = 0.00 μB per formula unit; theoretical density = 2.96 g/cm3
1.0
5.1572 0.0000 0.0000
0.0000 5.1572 0.0000
0.0000 0.0000 5.0367
N P Cl Te
1 2 1 1
Direct
0.5000 0.5000 0.5000 N
0.5000 0.0000 0.0000 P
0.0000 0.5000 0.0000 P
0.0000 0.0000 0.5000 Cl
0.0000 0.0000 0.0000 Te



Most stable structure: version w



Version w
TePN2Cl (PBE, relaxed); total magnetic moment = 0.67 μB per formula unit; theoretical density = 4.82 g/cm3
1.0
-0.5203 0.5001 3.5651
0.6282 -3.5343 0.5875
5.6298 1.1113 0.6656
P Cl Te N
1 1 1 2
Direct
0.0000 0.0000 0.0000 P
0.5000 0.5000 0.5000 Cl
0.0000 0.0000 0.5000 Te
0.0000 0.5000 0.0000 N
0.5000 0.0000 0.0000 N



Version x
TePN2Cl (PBE, relaxed); total magnetic moment = 0.89 μB per formula unit; theoretical density = 3.21 g/cm3
1.0
-0.4445 1.5630 -3.3666
-3.4170 1.1518 0.9859
3.1840 7.0170 2.8372
Cl N P Te
1 2 1 1
Direct
0.0000 0.0000 0.0000 Cl
0.0000 0.5000 0.0000 N
0.5000 0.0000 0.0000 N
0.5000 0.5000 0.5000 P
0.0000 0.0000 0.5000 Te



Most stable structure: version w



Version w
VP2NCl (PBE, relaxed); total magnetic moment = 0.04 μB per formula unit; theoretical density = 4.00 g/cm3
1.0
3.9390 0.0000 0.0000
0.0000 3.9390 0.0000
0.0000 0.0000 4.3444
Cl P N V
1 2 1 1
Direct
0.0000 0.0000 0.5000 Cl
0.5000 0.0000 0.0000 P
0.0000 0.5000 0.0000 P
0.0000 0.0000 0.0000 N
0.5000 0.5000 0.5000 V



Version x
VP2NCl (PBE, relaxed); total magnetic moment = 2.79 μB per formula unit; theoretical density = 2.69 g/cm3
1.0
4.5194 0.0000 0.0000
0.0000 4.5194 0.0000
0.0000 0.0000 4.8985
P Cl V N
2 1 1 1
Direct
0.0000 0.5000 0.0000 P
0.5000 0.0000 0.0000 P
0.0000 0.0000 0.5000 Cl
0.0000 0.0000 0.0000 V
0.5000 0.5000 0.5000 N



Most stable structure: version w



Version w
PWNCl2 (PBE, relaxed); total magnetic moment = 3.29 μB per formula unit; theoretical density = 6.38 g/cm3
1.0
-3.7933 1.4964 -0.5689
0.2845 -0.8097 -4.0268
-1.7605 -4.1898 0.7181
W Cl P N
1 2 1 1
Direct
0.5000 0.5000 0.5000 W
0.5000 0.0000 0.0000 Cl
0.0000 0.5000 0.0000 Cl
0.0000 0.0000 0.5000 P
0.0000 0.0000 0.0000 N



Version x
PWNCl2 (PBE, relaxed); total magnetic moment = 3.23 μB per formula unit; theoretical density = 4.51 g/cm3
1.0
-0.7801 4.7253 -0.7652
-3.2177 -1.0916 -3.4608
-3.4305 -0.0474 3.2045
Cl N W P
2 1 1 1
Direct
0.0000 0.5000 0.0000 Cl
0.5000 0.0000 0.0000 Cl
0.5000 0.5000 0.5000 N
0.0000 0.0000 0.0000 W
0.0000 0.0000 0.5000 P



Most stable structure: version x



Version w
P2WNCl (PBE, relaxed); total magnetic moment = 0.00 μB per formula unit; theoretical density = 7.46 g/cm3
1.0
-3.7510 -1.0427 -0.5847
0.8763 -1.0887 -3.6804
0.8759 -3.9181 1.3675
N P W Cl
1 2 1 1
Direct
0.0000 0.0000 0.0000 N
0.5000 0.0000 0.0000 P
0.0000 0.5000 0.0000 P
0.5000 0.5000 0.5000 W
0.0000 0.0000 0.5000 Cl



Version x
P2WNCl (PBE, relaxed); total magnetic moment = 2.54 μB per formula unit; theoretical density = 4.51 g/cm3
1.0
4.6761 0.0000 0.0000
0.0000 4.6761 0.0000
0.0000 0.0000 4.9687
W P Cl N
1 2 1 1
Direct
0.0000 0.0000 0.0000 W
0.5000 0.0000 0.0000 P
0.0000 0.5000 0.0000 P
0.0000 0.0000 0.5000 Cl
0.5000 0.5000 0.5000 N



Most stable structure: version x



Version w
YP2NCl (PBE, relaxed); total magnetic moment = 5.10 μB per formula unit; theoretical density = 2.04 g/cm3
1.0
-2.7892 0.3475 4.7592
3.7388 -3.2663 2.4297
2.8659 4.2965 1.3659
N Y Cl P
1 1 1 2
Direct
0.5000 0.5000 0.5000 N
0.0000 0.0000 0.0000 Y
0.0000 0.0000 0.5000 Cl
0.0000 0.5000 0.0000 P
0.5000 0.0000 0.0000 P



Version x
YP2NCl (PBE, relaxed); total magnetic moment = 0.14 μB per formula unit; theoretical density = 4.00 g/cm3
1.0
-0.8154 0.1401 -3.7625
2.1914 -3.1128 -0.5908
-4.4549 -3.2962 0.8427
N P Y Cl
1 2 1 1
Direct
0.0000 0.0000 0.0000 N
0.0000 0.5000 0.0000 P
0.5000 0.0000 0.0000 P
0.5000 0.5000 0.5000 Y
0.0000 0.0000 0.5000 Cl



Most stable structure: version x